#a
# SrAs2HBr

A relaxed structure of SrAs2HBr (PBE, Alexandria via LeMat-Bulk).

Cell: 6.519 6.519 5.927 Å, 90.00 90.00 90.00°
Fractional positions:
Sr 0.000 0.000 0.000
As 0.000 0.500 0.000
As 0.500 0.000 0.000
H 0.500 0.500 0.500
Br 0.000 0.000 0.500

space-group type = P4/mmm, No. 123
calculated density = 2.099 g cm⁻³
M_tot = 1.201 μB/atom

#b
# SrAs2HBr

A relaxed structure of SrAs2HBr (PBE, Alexandria via LeMat-Bulk).

Cell: 4.185 4.185 6.298 Å, 90.00 90.00 90.00°
Fractional positions:
Sr 0.000 0.000 0.000
As 0.000 0.500 0.500
As 0.500 0.000 0.500
H 0.500 0.500 0.500
Br 0.500 0.500 0.000

space-group type = P4/mmm, No. 123
calculated density = 4.793 g cm⁻³
M_tot = 0.000 μB/atom

Stability, lowest: #a

#a
# SrAsHBr2

A relaxed structure of SrAsHBr2 (PBE, Alexandria via LeMat-Bulk).

Cell: 5.919 5.919 7.170 Å, 90.00 90.00 90.00°
Fractional positions:
Sr 0.000 0.000 0.000
As 0.000 0.000 0.500
H 0.500 0.500 0.500
Br 0.000 0.500 0.000
Br 0.500 0.000 0.000

space-group type = P4/mmm, No. 123
calculated density = 2.137 g cm⁻³
M_tot = 0.802 μB/atom

#b
# SrAsHBr2

A relaxed structure of SrAsHBr2 (PBE, Alexandria via LeMat-Bulk).

Cell: 5.379 5.379 3.845 Å, 90.00 90.00 90.00°
Fractional positions:
Sr 0.000 0.000 0.000
As 0.500 0.500 0.000
H 0.500 0.500 0.500
Br 0.000 0.500 0.500
Br 0.500 0.000 0.500

space-group type = P4/mmm, No. 123
calculated density = 4.826 g cm⁻³
M_tot = 0.000 μB/atom

Stability, lowest: #a

#a
# TcAs2HBr

A relaxed structure of TcAs2HBr (PBE, Alexandria via LeMat-Bulk).

Cell: 4.720 4.720 5.554 Å, 90.00 90.00 90.00°
Fractional positions:
Tc 0.000 0.000 0.000
As 0.000 0.500 0.000
As 0.500 0.000 0.000
H 0.500 0.500 0.500
Br 0.000 0.000 0.500

space-group type = P4/mmm, No. 123
calculated density = 4.412 g cm⁻³
M_tot = 0.068 μB/atom

#b
# TcAs2HBr

A relaxed structure of TcAs2HBr (PBE, Alexandria via LeMat-Bulk).

Cell: 3.974 3.974 5.068 Å, 90.00 90.00 90.00°
Fractional positions:
Tc 0.000 0.000 0.000
As 0.000 0.500 0.500
As 0.500 0.000 0.500
H 0.500 0.500 0.500
Br 0.500 0.500 0.000

space-group type = P4/mmm, No. 123
calculated density = 6.820 g cm⁻³
M_tot = 0.349 μB/atom

Stability, lowest: #b

#a
# TcAsHBr2

A relaxed structure of TcAsHBr2 (PBE, Alexandria via LeMat-Bulk).

Cell: 4.885 4.885 3.450 Å, 90.00 90.00 90.00°
Fractional positions:
Tc 0.000 0.000 0.000
As 0.500 0.500 0.000
H 0.500 0.500 0.500
Br 0.000 0.500 0.500
Br 0.500 0.000 0.500

space-group type = P4/mmm, No. 123
calculated density = 6.732 g cm⁻³
M_tot = 0.001 μB/atom

#b
# TcAsHBr2

A relaxed structure of TcAsHBr2 (PBE, Alexandria via LeMat-Bulk).

Cell: 5.289 5.289 4.724 Å, 90.00 90.00 90.00°
Fractional positions:
Tc 0.000 0.000 0.000
As 0.000 0.000 0.500
H 0.500 0.500 0.500
Br 0.000 0.500 0.000
Br 0.500 0.000 0.000

space-group type = P4/mmm, No. 123
calculated density = 4.194 g cm⁻³
M_tot = 0.495 μB/atom

Stability, lowest: #a

#a
# TeAsHBr2

A relaxed structure of TeAsHBr2 (PBE, Alexandria via LeMat-Bulk).

Cell: 5.693 5.693 5.675 Å, 90.00 90.00 90.00°
Fractional positions:
Te 0.000 0.000 0.000
As 0.000 0.000 0.500
H 0.500 0.500 0.500
Br 0.000 0.500 0.000
Br 0.500 0.000 0.000

space-group type = P4/mmm, No. 123
calculated density = 3.280 g cm⁻³
M_tot = 0.557 μB/atom

#b
# TeAsHBr2

A relaxed structure of TeAsHBr2 (PBE, Alexandria via LeMat-Bulk).

Cell: 5.574 5.574 3.474 Å, 90.00 90.00 90.00°
Fractional positions:
Te 0.000 0.000 0.000
As 0.500 0.500 0.000
H 0.500 0.500 0.500
Br 0.000 0.500 0.500
Br 0.500 0.000 0.500

space-group type = P4/mmm, No. 123
calculated density = 5.589 g cm⁻³
M_tot = 0.000 μB/atom

Stability, lowest: #a

#a
# TeAs2HBr

A relaxed structure of TeAs2HBr (PBE, Alexandria via LeMat-Bulk).

Cell: 4.078 4.078 6.741 Å, 90.00 90.00 90.00°
Fractional positions:
Te 0.000 0.000 0.000
As 0.000 0.500 0.500
As 0.500 0.000 0.500
H 0.500 0.500 0.500
Br 0.500 0.500 0.000

space-group type = P4/mmm, No. 123
calculated density = 5.308 g cm⁻³
M_tot = 0.000 μB/atom

#b
# TeAs2HBr

A relaxed structure of TeAs2HBr (PBE, Alexandria via LeMat-Bulk).

Cell: 5.528 5.528 5.842 Å, 90.00 90.00 90.00°
Fractional positions:
Te 0.000 0.000 0.000
As 0.000 0.500 0.000
As 0.500 0.000 0.000
H 0.500 0.500 0.500
Br 0.000 0.000 0.500

space-group type = P4/mmm, No. 123
calculated density = 3.333 g cm⁻³
M_tot = 0.646 μB/atom

Stability, lowest: #b

#a
# TlAsHBr2

A relaxed structure of TlAsHBr2 (PBE, Alexandria via LeMat-Bulk).

Cell: 5.667 5.667 3.592 Å, 90.00 90.00 90.00°
Fractional positions:
Tl 0.000 0.000 0.000
As 0.500 0.500 0.000
H 0.500 0.500 0.500
Br 0.000 0.500 0.500
Br 0.500 0.000 0.500

space-group type = P4/mmm, No. 123
calculated density = 6.336 g cm⁻³
M_tot = 0.000 μB/atom

#b
# TlAsHBr2

A relaxed structure of TlAsHBr2 (PBE, Alexandria via LeMat-Bulk).

Cell: 5.769 5.769 5.561 Å, 90.00 90.00 90.00°
Fractional positions:
Tl 0.000 0.000 0.000
As 0.000 0.000 0.500
H 0.500 0.500 0.500
Br 0.000 0.500 0.000
Br 0.500 0.000 0.000

space-group type = P4/mmm, No. 123
calculated density = 3.948 g cm⁻³
M_tot = 0.570 μB/atom

Stability, lowest: #b

#a
# AsHWBr2

A relaxed structure of AsHWBr2 (PBE, Alexandria via LeMat-Bulk).

Cell: 4.941 4.941 3.456 Å, 90.00 90.00 90.00°
Fractional positions:
As 0.000 0.000 0.000
H 0.000 0.000 0.500
W 0.500 0.500 0.000
Br 0.000 0.500 0.500
Br 0.500 0.000 0.500

space-group type = P4/mmm, No. 123
calculated density = 8.255 g cm⁻³
M_tot = 0.320 μB/atom

#b
# AsHWBr2

A relaxed structure of AsHWBr2 (PBE, Alexandria via LeMat-Bulk).

Cell: 5.207 5.207 4.836 Å, 90.00 90.00 90.00°
Fractional positions:
As 0.000 0.000 0.000
H 0.500 0.500 0.000
W 0.000 0.000 0.500
Br 0.000 0.500 0.500
Br 0.500 0.000 0.500

space-group type = P4/mmm, No. 123
calculated density = 5.315 g cm⁻³
M_tot = 0.273 μB/atom

Stability, lowest: #a